## Cs3KH (PBE-GGA)

Data for an optimized crystal structure of Cs3KH.

POSCAR file:
```
Cs3KH
1.0
10.337 0.000 0.000
0.000 4.938 0.000
0.000 0.000 13.407
Cs K H
6 2 2
direct
0.033 0.000 0.228
0.250 0.500 0.484
0.467 0.000 0.228
0.533 0.000 0.772
0.750 0.500 0.516
0.967 0.000 0.772
0.250 0.500 0.009
0.750 0.500 0.991
0.250 0.500 0.227
0.750 0.500 0.773
```

=====

## Cs3KH4 (PBE-GGA)

Data for an optimized crystal structure of Cs3KH4.

POSCAR file:
```
Cs3KH4
1.0
6.237 0.000 0.000
0.000 6.237 0.000
0.000 0.000 6.237
Cs K H
3 1 4
direct
0.000 0.000 0.500
0.000 0.500 0.000
0.500 0.000 0.000
0.500 0.500 0.500
0.000 0.000 0.000
0.000 0.500 0.500
0.500 0.000 0.500
0.500 0.500 0.000
```

=====

## Cs8K3H (PBE-GGA)

Data for an optimized crystal structure of Cs8K3H.

POSCAR file:
```
Cs8K3H
1.0
14.791 0.000 0.000
-7.395 12.809 0.000
0.000 0.000 11.942
Cs K H
16 6 2
direct
0.000 0.000 0.335
0.000 0.000 0.835
0.107 0.554 0.340
0.202 0.404 0.000
0.202 0.798 0.000
0.333 0.667 0.654
0.404 0.202 0.500
0.446 0.554 0.340
0.446 0.893 0.340
0.554 0.107 0.840
0.554 0.446 0.840
0.596 0.798 0.000
0.667 0.333 0.154
0.798 0.202 0.500
0.798 0.596 0.500
0.893 0.446 0.840
0.148 0.296 0.599
0.148 0.852 0.599
0.296 0.148 0.099
0.704 0.852 0.599
0.852 0.148 0.099
0.852 0.704 0.099
0.333 0.667 0.405
0.667 0.333 0.905
```

=====

## Cs2KH (PBE-GGA)

Data for an optimized crystal structure of Cs2KH.

POSCAR file:
```
Cs2KH
1.0
4.247 0.000 0.000
0.000 4.247 0.000
0.000 0.000 12.251
Cs K H
2 1 1
direct
0.000 0.000 0.157
0.000 0.000 0.843
0.500 0.500 0.500
0.500 0.500 0.000
```

=====

## CsKH (PBE-GGA)

Data for an optimized crystal structure of CsKH.

POSCAR file:
```
CsKH
1.0
7.800 0.000 0.000
0.000 7.800 0.000
0.000 0.000 7.800
Cs K H
4 4 4
direct
0.000 0.000 0.000
0.000 0.500 0.500
0.500 0.000 0.500
0.500 0.500 0.000
0.000 0.000 0.500
0.000 0.500 0.000
0.500 0.000 0.000
0.500 0.500 0.500
0.250 0.250 0.750
0.250 0.750 0.250
0.750 0.250 0.250
0.750 0.750 0.750
```

=====

## Cs5KH (PBE-GGA)

Data for an optimized crystal structure of Cs5KH.

POSCAR file:
```
Cs5KH
1.0
8.268 -4.892 0.000
8.268 4.892 0.000
-7.616 0.000 14.098
Cs K H
10 2 2
direct
0.006 0.994 0.750
0.043 0.630 0.413
0.115 0.606 0.935
0.370 0.957 0.087
0.394 0.885 0.565
0.606 0.115 0.435
0.630 0.043 0.913
0.885 0.394 0.065
0.957 0.370 0.587
0.994 0.006 0.250
0.496 0.504 0.250
0.504 0.496 0.750
0.000 0.000 0.000
0.000 0.000 0.500
```

=====

Number 1: calculated total energy -0.0521 hartree per atom. Number 2: calculated total energy -0.0842 hartree per atom. Number 3: calculated total energy -0.0405 hartree per atom. Number 4: calculated total energy -0.0555 hartree per atom. Number 5: calculated total energy -0.0594 hartree per atom. Number 6: calculated total energy -0.0458 hartree per atom.